! GGA-PBE TeWBr9, optimized geometry; values from VASP
&SYSTEM
  ibrav = 0, nat = 22, ntyp = 3
/
ATOMIC_SPECIES
Br 79.90 Br.upf
Te 127.60 Te.upf
W 183.84 W.upf
CELL_PARAMETERS angstrom
6.665 0.000 -0.005
0.000 11.466 0.000
-2.296 0.000 9.724
ATOMIC_POSITIONS angstrom
Br -1.556 2.866 6.653
Br 2.422 2.866 9.718
Br 1.580 8.599 6.441
Br 1.947 8.599 0.001
Br 2.789 2.866 3.278
Br 1.490 4.617 6.766
Br 4.879 10.504 6.548
Br 5.041 10.401 0.142
Br -0.510 4.771 3.170
Br 4.879 6.695 6.548
Br 2.879 10.350 2.953
Br 5.925 8.599 3.066
Br -0.510 0.962 3.170
Br -0.672 4.668 9.576
Br 5.041 6.797 0.142
Br -0.672 1.064 9.576
Br 2.879 6.848 2.953
Br 1.490 1.115 6.766
Te 3.820 8.599 5.222
Te 0.549 2.866 4.496
W 0.411 2.866 8.350
W 3.958 8.599 1.369
! - raw total energy (eV/atom) = -3.215
! - M_tot (μB/f.u.) = 1.03
! - calculated volume (Å³/cell) = 742.9
! - SG = P2_1/m

***

! GGA-PBE ZnTe6Br2, optimized geometry; values from VASP
&SYSTEM
  ibrav = 0, nat = 9, ntyp = 3
/
ATOMIC_SPECIES
Zn 65.41 Zn.upf
Br 79.90 Br.upf
Te 127.60 Te.upf
CELL_PARAMETERS angstrom
4.751 -7.374 0.000
4.751 7.374 0.000
-0.486 0.000 4.392
ATOMIC_POSITIONS angstrom
Zn 0.000 0.000 0.000
Br 4.508 5.470 2.196
Br 4.508 -5.470 2.196
Te 2.563 0.000 0.752
Te 5.981 2.241 0.639
Te 3.035 2.241 3.753
Te 5.981 -2.241 0.639
Te 6.453 0.000 3.640
Te 3.035 -2.241 3.753
! - raw total energy (eV/atom) = -2.766
! - calculated volume (Å³/cell) = 307.7
! - SG = C2/m

***

! GGA-PBE ZrTeBr, optimized geometry; values from VASP
&SYSTEM
  ibrav = 0, nat = 12, ntyp = 3
/
ATOMIC_SPECIES
Te 127.60 Te.upf
Zr 91.22 Zr.upf
Br 79.90 Br.upf
CELL_PARAMETERS angstrom
-3.089 -4.141 -4.105
-0.943 -4.943 5.692
-7.947 1.182 -0.284
ATOMIC_POSITIONS angstrom
Te -3.799 -5.191 3.778
Te -6.878 -1.914 1.045
Te -8.180 -2.711 -2.475
Te -5.100 -5.988 0.259
Zr -8.880 -0.628 -0.693
Zr -10.652 -3.886 -1.378
Zr -1.327 -4.016 2.681
Zr -3.098 -7.274 1.996
Br -7.587 -4.169 4.036
Br -3.090 -2.932 0.782
Br -8.889 -4.970 0.522
Br -4.392 -3.734 -2.733
! - raw total energy (eV/atom) = -5.483
! - M_tot (μB/f.u.) = 0.01
! - calculated volume (Å³/cell) = 370.7
! - SG = P2_1/c